Computed, not measured: a geometry-optimized Sm3Th2UN6 structure at the GGA-PBE level of DFT.

Unit cell a=6.2232 b=6.2232 c=6.1840 alpha=99.63 beta=99.63 gamma=119.99
Sites, in units of the cell vectors:
Sm (0.1661, 0.8339, 0.5000)
Sm (0.8339, 0.1661, 0.5000)
Sm (0.5000, 0.5000, 0.5000)
Th (0.3334, 0.6666, 0.0000)
Th (0.6666, 0.3334, 0.0000)
U (0.0000, 0.0000, 0.0000)
N (0.9240, 0.6145, 0.7721)
N (0.7674, 0.7674, 0.2291)
N (0.0760, 0.3855, 0.2279)
N (0.6145, 0.9240, 0.7721)
N (0.2326, 0.2326, 0.7709)
N (0.3855, 0.0760, 0.2279)

## Properties
- Calculated total energy: -9.04 eV/atom
- ρ: 10510 kg/m³
- Total magnetic moment: 0.000 Bohr magnetons per cell


Computed, not measured: a geometry-optimized BeTlIr2 structure at the GGA-PBE level of DFT.

Unit cell a=2.8669 b=2.8669 c=9.0839 alpha=90.00 beta=90.00 gamma=120.04
Sites, in units of the cell vectors:
Be (0.5000, 0.5000, 0.7867)
Tl (0.0000, 0.0000, 0.5087)
Ir (0.0000, 0.0000, 0.9740)
Ir (0.5000, 0.5000, 0.2306)

## Properties
- ΔE_f: 0.550 eV/atom
- ρ: 15360 kg/m³
- ΔE to the lowest computed polymorph: 0.414 eV/atom
- Total magnetic moment: 0.000 Bohr magnetons per cell


Computed, not measured: a geometry-optimized CaCd2P2 structure at the GGA-PBE level of DFT.

Unit cell a=4.3134 b=4.3134 c=7.0557 alpha=90.00 beta=90.00 gamma=120.00
Sites, in units of the cell vectors:
Ca (0.0000, 0.0000, 0.0000)
Cd (0.6667, 0.3333, 0.6385)
Cd (0.3333, 0.6667, 0.3615)
P (0.6667, 0.3333, 0.2386)
P (0.3333, 0.6667, 0.7614)

## Properties
- ΔE_f: -0.568 eV/atom
- ρ: 4774 kg/m³
- ΔE to the lowest computed polymorph: 0.000 eV/atom
- Total magnetic moment: 0.000 Bohr magnetons per cell


Computed, not measured: a geometry-optimized BaTl5 structure at the GGA-PBE level of DFT.

Unit cell a=4.2608 b=4.2608 c=11.0098 alpha=90.00 beta=90.00 gamma=90.00
Sites, in units of the cell vectors:
Ba (0.5000, 0.5000, 0.0000)
Tl (0.0000, 0.0000, 0.8024)
Tl (0.0000, 0.0000, 0.1976)
Tl (0.5000, 0.5000, 0.6545)
Tl (0.5000, 0.5000, 0.3455)
Tl (0.0000, 0.0000, 0.5000)

## Properties
- ΔE_f: -0.137 eV/atom
- ρ: 9631 kg/m³
- ΔE to the lowest computed polymorph: 0.062 eV/atom
- Total magnetic moment: 0.000 Bohr magnetons per cell


Computed, not measured: a geometry-optimized Sr3SmIn4 structure at the GGA-PBE level of DFT.

Unit cell a=3.9849 b=3.9849 c=16.2507 alpha=90.00 beta=90.00 gamma=90.00
Sites, in units of the cell vectors:
Sr (0.5000, 0.5000, 0.2434)
Sr (0.5000, 0.5000, 0.5000)
Sr (0.5000, 0.5000, 0.7566)
Sm (0.5000, 0.5000, 0.0000)
In (0.0000, 0.0000, 0.8894)
In (0.0000, 0.0000, 0.1106)
In (0.0000, 0.0000, 0.3719)
In (0.0000, 0.0000, 0.6281)

## Properties
- ΔE_f: -0.435 eV/atom
- ρ: 5614 kg/m³
- Total magnetic moment: 0.000 Bohr magnetons per cell


Computed, not measured: a geometry-optimized DyTmHf structure at the GGA-PBE level of DFT.

Unit cell a=3.3508 b=3.3508 c=7.7057 alpha=102.56 beta=102.56 gamma=90.00
Sites, in units of the cell vectors:
Tm (0.0120, 0.0120, 0.0239)
Hf (0.6655, 0.6655, 0.3310)
Dy (0.3225, 0.3225, 0.6450)

## Properties
- ΔE_f: 0.109 eV/atom
- ρ: 10285 kg/m³
- ΔE to the lowest computed polymorph: 0.000 eV/atom
- Total magnetic moment: 0.000 Bohr magnetons per cell


Computed, not measured: a geometry-optimized Zn2AgPt structure at the GGA-PBE level of DFT.

Unit cell a=8.8307 b=8.8307 c=8.8307 alpha=18.84 beta=18.84 gamma=18.84
Sites, in units of the cell vectors:
Ag (0.2500, 0.2500, 0.2500)
Pt (0.7500, 0.7500, 0.7500)
Zn (0.0032, 0.0032, 0.0032)
Zn (0.4968, 0.4968, 0.4968)

## Properties
- ΔE_f: -0.242 eV/atom
- ρ: 11473 kg/m³
- Total magnetic moment: 0.000 Bohr magnetons per cell


Computed, not measured: a geometry-optimized KLiPr2I8 structure at the GGA-PBE level of DFT.

Unit cell a=8.0119 b=8.0119 c=9.3405 alpha=90.00 beta=90.00 gamma=120.00
Sites, in units of the cell vectors:
K (0.0000, 0.0000, 0.5000)
Li (0.0000, 0.0000, 0.0000)
Pr (0.6667, 0.3333, 0.0963)
Pr (0.3333, 0.6667, 0.9037)
I (0.9314, 0.6467, 0.8380)
I (0.3533, 0.2847, 0.8380)
I (0.7153, 0.0686, 0.8380)
I (0.0686, 0.3533, 0.1620)
I (0.6467, 0.7153, 0.1620)
I (0.2847, 0.9314, 0.1620)
I (0.6667, 0.3333, 0.4230)
I (0.3333, 0.6667, 0.5770)

## Properties
- Calculated total energy: -3.41 eV/atom
- ρ: 4295 kg/m³
- Total magnetic moment: 0.000 Bohr magnetons per cell


Computed, not measured: a geometry-optimized Al2FeBr structure at the GGA-PBE level of DFT.

Unit cell a=5.3560 b=5.3560 c=5.3560 alpha=136.32 beta=136.32 gamma=63.48
Sites, in units of the cell vectors:
Fe (0.7500, 0.2500, 0.5000)
Br (0.2500, 0.7500, 0.5000)
Al (0.0000, 0.0000, 0.0000)
Al (0.5000, 0.5000, 0.0000)

## Properties
- ρ: 4356 kg/m³
- ΔE to the lowest computed polymorph: 0.564 eV/atom
- Total magnetic moment: 2.747 Bohr magnetons per cell


Computed, not measured: a geometry-optimized PaZnNi6 structure at the GGA-PBE level of DFT.

Unit cell a=4.7170 b=4.7170 c=4.7170 alpha=90.00 beta=90.00 gamma=90.00
Sites, in units of the cell vectors:
Pa (0.5000, 0.5000, 0.5000)
Zn (0.0000, 0.0000, 0.0000)
Ni (0.5000, 0.7551, 0.0000)
Ni (0.7551, 0.0000, 0.5000)
Ni (0.0000, 0.5000, 0.2449)
Ni (0.2449, 0.0000, 0.5000)
Ni (0.5000, 0.2449, 0.0000)
Ni (0.0000, 0.5000, 0.7551)

## Properties
- ΔE_f: -0.164 eV/atom
- ρ: 10262 kg/m³
- ΔE to the lowest computed polymorph: 0.147 eV/atom
- Total magnetic moment: 0.000 Bohr magnetons per cell


Computed, not measured: a geometry-optimized Ca2Pr4Tm structure at the GGA-PBE level of DFT.

Unit cell a=5.8077 b=5.8077 c=9.9287 alpha=107.01 beta=107.01 gamma=90.00
Sites, in units of the cell vectors:
Ca (0.6263, 0.6263, 0.2525)
Ca (0.3737, 0.3737, 0.7475)
Pr (0.8278, 0.8278, 0.6555)
Pr (0.1722, 0.1722, 0.3445)
Pr (0.0000, 0.5000, 0.0000)
Pr (0.5000, 0.0000, 0.0000)
Tm (0.0000, 0.0000, 0.0000)

## Properties
- ΔE_f: 0.570 eV/atom
- ρ: 4426 kg/m³
- ΔE to the lowest computed polymorph: 0.456 eV/atom
- Total magnetic moment: 0.205 Bohr magnetons per cell


Computed, not measured: a geometry-optimized Sm2Cu3Ge4 structure at the GGA-PBE level of DFT.

Unit cell a=5.7445 b=7.5291 c=8.0156 alpha=90.00 beta=111.00 gamma=90.00
Sites, in units of the cell vectors:
Sm (0.1123, 0.5930, 0.2246)
Sm (0.8877, 0.4070, 0.7754)
Sm (0.3877, 0.0930, 0.7754)
Sm (0.6123, 0.9070, 0.2246)
Cu (0.0000, 0.0000, 0.0000)
Cu (0.5000, 0.5000, 0.0000)
Cu (0.5303, 0.7500, 0.5606)
Cu (0.9697, 0.2500, 0.4394)
Cu (0.4697, 0.2500, 0.4394)
Cu (0.0303, 0.7500, 0.5606)
Ge (0.6953, 0.7500, 0.8907)
Ge (0.8047, 0.2500, 0.1093)
Ge (0.3047, 0.2500, 0.1093)
Ge (0.1953, 0.7500, 0.8907)
Ge (0.1819, 0.9753, 0.3638)
Ge (0.8181, 0.0247, 0.6362)
Ge (0.3181, 0.4753, 0.6362)
Ge (0.6819, 0.5247, 0.3638)

## Properties
- ΔE_f: -0.445 eV/atom
- ρ: 8023 kg/m³
- Total magnetic moment: 0.000 Bohr magnetons per cell


Computed, not measured: a geometry-optimized KPm2IrO8 structure at the GGA-PBE level of DFT.

Unit cell a=5.3093 b=4.2301 c=7.3160 alpha=74.35 beta=89.99 gamma=89.67
Sites, in units of the cell vectors:
K (0.0000, 0.0000, 0.5000)
Pm (0.5084, 0.3764, 0.7889)
Pm (0.4916, 0.6236, 0.2111)
Ir (0.0000, 0.0000, 0.0000)
O (0.0246, 0.6468, 0.2287)
O (0.6988, 0.8155, 0.9067)
O (0.7661, 0.2019, 0.1274)
O (0.9754, 0.3532, 0.7713)
O (0.3012, 0.1845, 0.0933)
O (0.2339, 0.7981, 0.8726)
O (0.5031, 0.8266, 0.4972)
O (0.4969, 0.1734, 0.5028)

## Properties
- Calculated total energy: -6.72 eV/atom
- ρ: 6815 kg/m³
- Total magnetic moment: 1.005 Bohr magnetons per cell


Computed, not measured: a geometry-optimized TiMnZn4 structure at the GGA-PBE level of DFT.

Unit cell a=2.7563 b=4.5156 c=8.1042 alpha=83.54 beta=80.21 gamma=72.23
Sites, in units of the cell vectors:
Ti (0.5000, 0.5000, 0.5000)
Mn (0.0000, 0.0000, 0.0000)
Zn (0.6610, 0.5238, 0.1542)
Zn (0.3390, 0.4762, 0.8458)
Zn (0.1551, 0.0179, 0.6719)
Zn (0.8449, 0.9821, 0.3281)

## Properties
- ΔE_f: 0.179 eV/atom
- ρ: 6407 kg/m³
- Total magnetic moment: 3.943 Bohr magnetons per cell


Computed, not measured: a geometry-optimized Dy6Ge2Te3P structure at the GGA-PBE level of DFT.

Unit cell a=4.2033 b=8.5704 c=9.5372 alpha=104.43 beta=102.73 gamma=90.00
Sites, in units of the cell vectors:
Dy (0.3417, 0.9013, 0.6835)
Dy (0.6729, 0.5658, 0.3458)
Dy (0.6583, 0.0987, 0.3165)
Dy (0.0070, 0.2290, 0.0141)
Dy (0.9930, 0.7710, 0.9859)
Dy (0.3271, 0.4342, 0.6542)
Ge (0.8341, 0.6689, 0.6681)
Ge (0.1659, 0.3311, 0.3319)
Te (0.5000, 0.5000, 0.0000)
Te (0.8337, 0.1662, 0.6674)
Te (0.1663, 0.8338, 0.3326)
P (0.5000, 0.0000, 0.0000)

## Properties
- Calculated total energy: -5.62 eV/atom
- ρ: 7862 kg/m³
- Total magnetic moment: 0.000 Bohr magnetons per cell


Computed, not measured: a geometry-optimized HoNiPd structure at the GGA-PBE level of DFT.

Unit cell a=4.1427 b=5.0508 c=5.5356 alpha=90.01 beta=90.00 gamma=114.15
Sites, in units of the cell vectors:
Ni (0.5972, 0.1944, 0.2500)
Ni (0.4028, 0.8056, 0.7500)
Pd (0.0000, 0.0000, 0.5000)
Pd (0.0000, 0.0000, 0.0000)
Ho (0.3053, 0.6108, 0.2500)
Ho (0.6947, 0.3892, 0.7500)

## Properties
- ΔE_f: -0.659 eV/atom
- ρ: 10371 kg/m³
- Total magnetic moment: 0.000 Bohr magnetons per cell


Computed, not measured: a geometry-optimized OsAuBr2 structure at the GGA-PBE level of DFT.

Unit cell a=7.8718 b=7.8718 c=7.8718 alpha=27.96 beta=27.96 gamma=27.96
Sites, in units of the cell vectors:
Os (0.5006, 0.5006, 0.5006)
Au (0.7630, 0.7630, 0.7630)
Br (0.0222, 0.0222, 0.0222)
Br (0.2142, 0.2142, 0.2142)

## Properties
- ρ: 9589 kg/m³
- ΔE to the lowest computed polymorph: 0.042 eV/atom
- Total magnetic moment: 0.000 Bohr magnetons per cell


Computed, not measured: a geometry-optimized La2InAs2 structure at the GGA-PBE level of DFT.

Unit cell a=8.4254 b=8.4254 c=3.9288 alpha=90.00 beta=90.00 gamma=90.00
Sites, in units of the cell vectors:
As (0.1626, 0.6626, 0.5000)
As (0.6626, 0.8374, 0.5000)
As (0.8374, 0.3374, 0.5000)
As (0.3374, 0.1626, 0.5000)
In (0.0000, 0.0000, 0.0000)
In (0.5000, 0.5000, 0.0000)
La (0.3569, 0.8569, 0.0000)
La (0.8569, 0.6431, 0.0000)
La (0.6431, 0.1431, 0.0000)
La (0.1431, 0.3569, 0.0000)

## Properties
- ΔE_f: -0.887 eV/atom
- ρ: 6460 kg/m³
- ΔE to the lowest computed polymorph: 0.215 eV/atom
- Total magnetic moment: 0.000 Bohr magnetons per cell


Computed, not measured: a geometry-optimized ReIr3C structure at the GGA-PBE level of DFT.

Unit cell a=4.7297 b=4.7297 c=4.7297 alpha=90.00 beta=90.00 gamma=90.00
Sites, in units of the cell vectors:
Re (0.0000, 0.0000, 0.0000)
C (0.5000, 0.5000, 0.5000)
Ir (0.0000, 0.5000, 0.0000)
Ir (0.0000, 0.0000, 0.5000)
Ir (0.5000, 0.0000, 0.0000)

## Properties
- ΔE_f: 3.043 eV/atom
- ρ: 12161 kg/m³
- ΔE to the lowest computed polymorph: 2.226 eV/atom
- Total magnetic moment: 0.492 Bohr magnetons per cell


Computed, not measured: a geometry-optimized MoAs2W structure at the GGA-PBE level of DFT.

Unit cell a=4.0648 b=3.0021 c=5.3985 alpha=86.24 beta=90.00 gamma=90.00
Sites, in units of the cell vectors:
Mo (0.5000, 0.2500, 0.2500)
As (0.0000, 0.9764, 0.0044)
As (0.0000, 0.5236, 0.4956)
W (0.5000, 0.7500, 0.7500)

## Properties
- ΔE_f: 0.470 eV/atom
- ρ: 10853 kg/m³
- ΔE to the lowest computed polymorph: 0.493 eV/atom
- Total magnetic moment: 0.000 Bohr magnetons per cell


Computed, not measured: a geometry-optimized HfNb2CdNi structure at the GGA-PBE level of DFT.

Unit cell a=5.0108 b=4.5100 c=5.0108 alpha=90.00 beta=90.00 gamma=90.00
Sites, in units of the cell vectors:
Ni (0.0000, 0.5000, 0.0000)
Nb (0.0000, 0.0000, 0.5000)
Nb (0.5000, 0.0000, 0.0000)
Hf (0.5000, 0.5000, 0.5000)
Cd (0.0000, 0.0000, 0.0000)

## Properties
- ΔE_f: 1.572 eV/atom
- ρ: 7851 kg/m³
- Total magnetic moment: 0.000 Bohr magnetons per cell


Computed, not measured: a geometry-optimized HgPd6Pt structure at the GGA-PBE level of DFT.

Unit cell a=3.9863 b=3.9863 c=8.0703 alpha=90.00 beta=90.00 gamma=90.00
Sites, in units of the cell vectors:
Hg (0.0000, 0.0000, 0.0000)
Pd (0.5000, 0.5000, 0.0000)
Pd (0.5000, 0.5000, 0.5000)
Pd (0.5000, 0.0000, 0.2573)
Pd (0.5000, 0.0000, 0.7427)
Pd (0.0000, 0.5000, 0.2573)
Pd (0.0000, 0.5000, 0.7427)
Pt (0.0000, 0.0000, 0.5000)

## Properties
- ΔE_f: -0.064 eV/atom
- ρ: 13392 kg/m³
- Total magnetic moment: 0.000 Bohr magnetons per cell


Computed, not measured: a geometry-optimized Pa2GaRu6C structure at the GGA-PBE level of DFT.

Unit cell a=4.3984 b=4.3984 c=8.5396 alpha=90.00 beta=90.00 gamma=90.00
Sites, in units of the cell vectors:
Pa (0.0000, 0.0000, 0.7529)
Pa (0.0000, 0.0000, 0.2471)
Ga (0.5000, 0.5000, 0.0000)
Ru (0.5000, 0.0000, 0.0000)
Ru (0.5000, 0.0000, 0.5000)
Ru (0.0000, 0.5000, 0.0000)
Ru (0.0000, 0.5000, 0.5000)
Ru (0.5000, 0.5000, 0.7234)
Ru (0.5000, 0.5000, 0.2766)
C (0.5000, 0.5000, 0.5000)

## Properties
- ΔE_f: -0.021 eV/atom
- ρ: 11561 kg/m³
- Total magnetic moment: 0.000 Bohr magnetons per cell


Computed, not measured: a geometry-optimized PuPaTaO6 structure at the GGA-PBE level of DFT.

Unit cell a=5.6490 b=5.6490 c=9.8212 alpha=90.00 beta=90.00 gamma=120.00
Sites, in units of the cell vectors:
Pu (0.0000, 0.0000, 0.0000)
Pu (0.0000, 0.0000, 0.5000)
Pa (0.3333, 0.6667, 0.2500)
Pa (0.6667, 0.3333, 0.7500)
Ta (0.6667, 0.3333, 0.2500)
Ta (0.3333, 0.6667, 0.7500)
O (0.6566, 0.6312, 0.1385)
O (0.9746, 0.3434, 0.1385)
O (0.3434, 0.9746, 0.6385)
O (0.0254, 0.6566, 0.8615)
O (0.3688, 0.3434, 0.3615)
O (0.9746, 0.6312, 0.3615)
O (0.6312, 0.9746, 0.8615)
O (0.6566, 0.0254, 0.3615)
O (0.0254, 0.3688, 0.6385)
O (0.3688, 0.0254, 0.1385)
O (0.6312, 0.6566, 0.6385)
O (0.3434, 0.3688, 0.8615)

## Properties
- Calculated total energy: -10.34 eV/atom
- ρ: 9201 kg/m³
- Total magnetic moment: 12.074 Bohr magnetons per cell